(1)
NpHgB2O8 after structural relaxation. Source: the Alexandria database, functional GGA-PBE.

## Properties
The calculation puts the calculated total energy at -7.329 eV/atom. The total moment is 1.0 Bohr magnetons per cell. The volume comes out at 175.0 Å³ per cell. Its density of states at the Fermi level is 0.26 states/eV/atom.

Unit cell a=5.0532 b=5.0532 c=7.8563 alpha=100.73 beta=100.73 gamma=63.37
Closest atoms and distances in Å follow each position.
Fractional positions:
O1 0.3627 0.8179 0.1785  1 B 1.48
O2 0.1969 0.1969 0.9062  1 B 1.49
O3 0.6373 0.1821 0.8215  1 B 1.48
B1 0.6911 0.6911 0.2137  4 O 1.45-1.49
B2 0.3089 0.3089 0.7863  4 O 1.45-1.49
Np1 0.0000 0.0000 0.0000  6 O 1.99-2.05
O4 0.7647 0.7647 0.3977  1 B 1.45
O5 0.8179 0.3627 0.1785  1 B 1.48
O6 0.8031 0.8031 0.0938  1 B 1.49
O7 0.1821 0.6373 0.8215  1 B 1.48
Hg1 0.0000 0.0000 0.5000  2 O 2.01
O8 0.2353 0.2353 0.6023  1 B 1.45

---

(2)
LiHo2PaSe6 after structural relaxation. Source: the Alexandria database, functional GGA-PBE.

## Properties
The calculation puts the calculated total energy at -5.324 eV/atom. The total moment is 0.0 Bohr magnetons per cell. The volume comes out at 300.2 Å³ per cell.

Unit cell a=6.6558 b=6.7160 c=6.7160 alpha=90.00 beta=90.00 gamma=90.00
Closest atoms and distances in Å follow each position.
Fractional positions:
Ho1 0.9842 0.5000 0.0000  4 Se 2.85
Se1 0.7487 0.7612 0.7612  1 Li 2.66, 1 Pa 2.68, 2 Ho 2.85
Se2 0.7487 0.2388 0.2388  1 Li 2.66, 1 Pa 2.68, 2 Ho 2.85
Pa1 0.5945 0.5000 0.5000  5 Se 2.68-2.77
Ho2 0.9842 0.0000 0.5000  4 Se 2.85
Se3 0.7487 0.2388 0.7612  1 Li 2.66, 1 Pa 2.68, 2 Ho 2.85
Li1 0.5393 0.0000 0.0000  5 Se 2.45-2.66
Se4 0.1782 0.5000 0.5000  1 Pa 2.77
Se5 0.7487 0.7612 0.2388  1 Li 2.66, 1 Pa 2.68, 2 Ho 2.85
Se6 0.1717 0.0000 0.0000  1 Li 2.45

---

(3)
KNaTl2Pb after structural relaxation. Source: the Alexandria database, functional GGA-PBE.

## Properties
The calculation puts the calculated total energy at -2.271 eV/atom. The total moment is 0.0 Bohr magnetons per cell. The volume comes out at 355.7 Å³ per cell. The formation energy comes out at -9.6 kJ per mole of atoms. Its density of states at the Fermi level is 0.58 states/eV/atom.

Unit cell a=7.8051 b=6.7491 c=6.7515 alpha=90.00 beta=90.00 gamma=90.00
Closest atoms and distances in Å follow each position.
Fractional positions:
Na1 0.3612 0.2500 0.0000  2 Tl 3.23, 2 Pb 3.29
Tl1 0.2891 0.7500 0.7448  1 Na 3.23, 2 Pb 3.30, 2 Tl 3.31-3.45
K1 0.1696 0.2500 0.5000  2 Na 3.69, 6 Tl 3.87-3.94, 4 Pb 4.00
Na2 0.6388 0.7500 0.0000  2 Tl 3.23, 2 Pb 3.29
Tl2 0.2891 0.7500 0.2552  1 Na 3.23, 2 Pb 3.30, 2 Tl 3.31-3.45
Pb1 0.0000 0.5000 0.0000  2 Na 3.29, 4 Tl 3.30, 2 Pb 3.37
Pb2 0.0000 0.0000 0.0000  2 Na 3.29, 4 Tl 3.30, 2 Pb 3.37
K2 0.8304 0.7500 0.5000  2 Na 3.69, 6 Tl 3.87-3.94, 4 Pb 4.00
Tl3 0.7109 0.2500 0.2552  1 Na 3.23, 2 Pb 3.30, 2 Tl 3.31-3.45
Tl4 0.7109 0.2500 0.7448  1 Na 3.23, 2 Pb 3.30, 2 Tl 3.31-3.45

---

(4)
FeB2Br after structural relaxation. Source: the Alexandria database, functional GGA-PBE.

## Properties
The calculation puts the calculated total energy at -4.807 eV/atom. The total moment is 0.0 Bohr magnetons per cell. The volume comes out at 118.7 Å³ per cell. Its density of states at the Fermi level is 0.73 states/eV/atom. The energy relative to the lowest polymorph listed for this composition is 0.00 eV/f.u.

Unit cell a=5.0184 b=5.0184 c=5.9006 alpha=64.83 beta=64.83 gamma=90.00
Closest atoms and distances in Å follow each position.
Fractional positions:
Br1 0.7500 0.2500 0.5000  4 B 2.42
Br2 0.0000 0.0000 0.0000  4 B 2.42
Fe1 0.5000 0.5000 0.0000  4 B 1.90
B1 0.8750 0.7874 0.7500  2 Fe 1.90
B2 0.3750 0.4626 0.7500  2 Fe 1.90
B3 0.2126 0.6250 0.2500  2 Fe 1.90
Fe2 0.2500 0.7500 0.5000  4 B 1.90
B4 0.5374 0.1250 0.2500  2 Fe 1.90

---

(5)
Pr4ZnTe2S after structural relaxation. Source: the Alexandria database, functional GGA-PBE.

## Properties
The calculation puts the calculated total energy at -5.137 eV/atom. The total moment is 0.0 Bohr magnetons per cell. The volume comes out at 237.6 Å³ per cell. Its density of states at the Fermi level is 0.51 states/eV/atom.

Unit cell a=4.2631 b=7.5829 c=7.7387 alpha=108.26 beta=90.00 gamma=90.00
Closest atoms and distances in Å follow each position.
Fractional positions:
S1 0.0000 0.0000 0.0000  6 Pr 2.95-3.02
Pr1 0.5000 0.2339 0.2201  2 S 2.95, 1 Zn 3.02, 3 Te 3.20-3.25
Pr2 0.5000 0.7661 0.7799  2 S 2.95, 1 Zn 3.02, 3 Te 3.20-3.25
Zn1 0.5000 0.5000 0.0000  6 Pr 3.02
Te1 0.5000 0.0000 0.5000  6 Pr 3.18-3.20
Pr3 0.0000 0.2550 0.7690  1 S 3.02, 2 Zn 3.02, 3 Te 3.18-3.20
Pr4 0.0000 0.7450 0.2310  1 S 3.02, 2 Zn 3.02, 3 Te 3.18-3.20
Te2 0.0000 0.5000 0.5000  6 Pr 3.20-3.25

---

(6)
La3Zn2Ni6 after structural relaxation. Source: the Alexandria database, functional GGA-PBE.

## Properties
The calculation puts the calculated total energy at -5.089 eV/atom. The total moment is 0.0 Bohr magnetons per cell. The volume comes out at 384.6 Å³ per cell. The formation energy comes out at -34.7 kJ per mole of atoms. Its density of states at the Fermi level is 0.57 states/eV/atom.

Unit cell a=7.9350 b=7.9350 c=7.9350 alpha=109.47 beta=109.47 gamma=109.47
Closest atoms and distances in Å follow each position.
Fractional positions:
La1 0.0000 0.7026 0.7026  8 Ni 2.80-3.12
Ni1 0.6622 0.3243 0.6622  2 Zn 2.56, 4 Ni 2.65, 2 La 2.80
Zn1 0.0000 0.5000 0.0000  6 Ni 2.56
Ni2 0.6622 0.0000 0.3378  2 Zn 2.56, 4 Ni 2.65, 2 La 2.80
Ni3 0.3378 0.0000 0.6622  2 Zn 2.56, 4 Ni 2.65, 2 La 2.80
Ni4 0.6757 0.3378 0.3378  2 Zn 2.56, 4 Ni 2.65, 2 La 2.80
Ni5 0.0000 0.3378 0.6622  2 Zn 2.56, 4 Ni 2.65, 2 La 2.80
Zn2 0.5000 0.0000 0.0000  6 Ni 2.56
La2 0.7026 0.7026 0.0000  8 Ni 2.80-3.12
La3 0.2974 0.0000 0.2974  8 Ni 2.80-3.12
Ni6 0.3378 0.6622 0.0000  2 Zn 2.56, 4 Ni 2.65, 2 La 2.80
La4 0.2974 0.2974 0.0000  8 Ni 2.80-3.12
Ni7 0.3243 0.6622 0.6622  2 Zn 2.56, 4 Ni 2.65, 2 La 2.80
Ni8 0.0000 0.6622 0.3378  2 Zn 2.56, 4 Ni 2.65, 2 La 2.80
Ni9 0.3378 0.6757 0.3378  2 Zn 2.56, 4 Ni 2.65, 2 La 2.80
La5 0.7026 0.0000 0.7026  8 Ni 2.80-3.12
Ni10 0.6622 0.6622 0.3243  2 Zn 2.56, 4 Ni 2.65, 2 La 2.80
Ni11 0.6622 0.3378 0.0000  2 Zn 2.56, 4 Ni 2.65, 2 La 2.80
Zn3 0.0000 0.0000 0.5000  6 Ni 2.56
Zn4 0.5000 0.5000 0.5000  6 Ni 2.56
Ni12 0.3378 0.3378 0.6757  2 Zn 2.56, 4 Ni 2.65, 2 La 2.80
La6 0.0000 0.2974 0.2974  8 Ni 2.80-3.12